First-principles (SCAN) data for CrPbSeN2 at its PBEsol-relaxed geometry, as listed in the Alexandria database.

```
CrPbSeN2
1.0
-3.147 -1.658 1.495
-0.162 -2.408 -3.010
2.907 -3.288 2.474
Pb Cr Se N
1 1 1 2
direct
0.500 0.500 0.500
0.000 0.000 0.000
0.000 0.000 0.500
0.000 0.500 0.000
0.500 0.000 0.000
```

E_tot in eV per atom: -26.22
D(E_F) in states/eV per cell: 1.48
Formation energy without anion corrections in eV/f.u.: 1.737
SG: P4/mmm, No. 123